# 1
This record from Alexandria describes crystalline KTl3Ga at its relaxed geometry. The functional is PBE-GGA.

Cell and atoms, written as POSCAR:
```
KTl3Ga
1.0
-2.740 -4.155 0.225
3.892 -2.463 1.899
-1.966 1.629 6.142
Tl K Ga
3 1 1
Cartesian
-2.021 -1.537 2.148 Tl
-1.274 1.056 3.981 Tl
1.294 -0.691 2.985 Tl
-1.115 -1.908 6.345 K
-0.182 0.151 0.569 Ga
```

Results
V: 33.02 A^3/atom
Calculated formation energy: -0.023 eV per atom
D(E_F): 0.454 states/eV per atom
Energy above the most stable polymorph in this dataset: 17.7 meV/atom
Space group: P4mm (99)

# 2
This record from Alexandria describes crystalline SrLiPrGe at its relaxed geometry. The functional is PBE-GGA.

Cell and atoms, written as POSCAR:
```
SrLiPrGe
1.0
-0.060 -5.111 1.648
1.535 -3.916 -3.339
4.620 -2.600 0.855
Sr Ge Pr Li
1 1 1 1
Cartesian
0.000 0.000 0.000 Sr
4.571 -8.720 -0.627 Ge
3.047 -5.813 -0.418 Pr
1.524 -2.907 -0.209 Li
```

Results
V: 27.38 A^3/atom
Calculated formation energy: -0.318 eV per atom
D(E_F): 0.613 states/eV per atom
Space group: F-43m (216)

# 3
This record from Alexandria describes crystalline RbCoAg3 at its relaxed geometry. The functional is PBE-GGA.

Cell and atoms, written as POSCAR:
```
RbCoAg3
1.0
-1.382 -5.194 2.016
5.467 -1.665 -0.542
1.076 1.790 5.348
Ag Co Rb
3 1 1
Cartesian
0.538 0.895 2.674 Ag
-0.691 -2.597 1.008 Ag
2.734 -0.833 -0.271 Ag
2.580 -2.535 3.411 Co
0.000 0.000 0.000 Rb
```

Results
V: 37.84 A^3/atom
Calculated formation energy: 1.854 eV per atom
D(E_F): 1.127 states/eV per atom
Energy above the most stable polymorph in this dataset: 1269.9 meV/atom
Space group: Pm-3m (221)

# 4
This record from Alexandria describes crystalline Nb2Ga3Ni4 at its relaxed geometry. The functional is PBE-GGA.

Cell and atoms, written as POSCAR:
```
Nb2Ga3Ni4
1.0
-1.432 -3.841 -2.980
6.290 -2.955 0.787
-1.629 -1.571 7.117
Ga Ni Nb
6 8 4
Cartesian
3.154 -4.971 2.737 Ga
-0.641 -5.317 0.698 Ga
0.075 -3.396 2.187 Ga
3.870 -3.050 4.227 Ga
2.429 -3.398 -1.096 Ga
0.000 0.000 0.000 Ga
1.676 -4.627 0.850 Ni
1.553 -3.740 4.075 Ni
0.887 -2.187 0.238 Ni
-2.198 -4.234 2.205 Ni
5.426 -4.133 2.720 Ni
2.342 -6.180 4.687 Ni
3.058 -4.260 6.177 Ni
0.171 -4.107 -1.252 Ni
4.511 -5.223 0.256 Nb
-1.282 -3.144 4.669 Nb
-0.115 -5.950 3.415 Nb
3.343 -2.418 1.510 Nb
```

Results
V: 13.83 A^3/atom
Calculated formation energy: -0.298 eV per atom
D(E_F): 0.819 states/eV per atom
Space group: Cmce (64)